# PBE with a Hubbard U Na2PaCrO6, optimized geometry
# Final energy: -142.716 eV for the cell shown
data_Na2PaCrO6
_chemical_formula_sum 'Na4 Pa2 Cr2 O12'
_cell_length_a 9.686
_cell_length_b 5.738
_cell_length_c 5.613
_cell_angle_alpha 90.00
_cell_angle_beta 124.92
_cell_angle_gamma 90.00
_symmetry_space_group_name_H-M 'C 1 2/m 1'
_symmetry_Int_Tables_number 12
loop_
_symmetry_equiv_pos_as_xyz
'x,y,z'
'-x,-y,-z'
'-x,y,-z'
'x,-y,z'
'x+1/2,y+1/2,z'
'-x+1/2,-y+1/2,-z'
'-x+1/2,y+1/2,-z'
'x+1/2,-y+1/2,z'
loop_
_atom_site_label
_atom_site_type_symbol
_atom_site_fract_x
_atom_site_fract_y
_atom_site_fract_z
Na1 Na 0.247 0.000 0.226
Pa1 Pa 0.000 0.500 0.000
Cr1 Cr 0.000 0.000 0.500
O1 O 0.046 0.241 0.785
O2 O 0.218 0.000 0.632